[1]
# TlSbW2 (PBE, optimized geometry)
# E above lowest polymorph: 58.92 kJ per mole of atoms
# E_form (uncorrected): 1.06 eV per atom
# total magnetic moment: 0.0001 μB/atom
# electronic total energy: -7.044 eV per atom
data_TlSbW2
_cell_length_a 4.7379
_cell_length_b 4.7379
_cell_length_c 3.3408
_cell_angle_alpha 90.00
_cell_angle_beta 90.00
_cell_angle_gamma 90.00
_symmetry_space_group_name_H-M 'P 4/m m m'
_symmetry_Int_Tables_number 123
_symmetry_space_group_name_Hall '-P 4 2'
loop_
_atom_site_label
_atom_site_type_symbol
_atom_site_fract_x
_atom_site_fract_y
_atom_site_fract_z
Tl1 Tl 0.0000 0.0000 0.0000
Sb1 Sb 0.5000 0.5000 0.0000
W1 W 0.0000 0.5000 0.5000


[2]
# TlSb2W (PBE, optimized geometry)
# E above lowest polymorph: 0.00 kJ per mole of atoms
# E_form (uncorrected): 0.26 eV per atom
# total magnetic moment: 0.0000 μB/atom
# electronic total energy: -5.636 eV per atom
data_TlSb2W
_cell_length_a 5.8460
_cell_length_b 3.3758
_cell_length_c 11.0138
_cell_angle_alpha 90.00
_cell_angle_beta 99.77
_cell_angle_gamma 90.00
_symmetry_space_group_name_H-M 'C 1 2/m 1'
_symmetry_Int_Tables_number 12
loop_
_symmetry_equiv_pos_as_xyz
'x,y,z'
'-x,-y,-z'
'-x,y,-z'
'x,-y,z'
'x+1/2,y+1/2,z'
'-x+1/2,-y+1/2,-z'
'-x+1/2,y+1/2,-z'
'x+1/2,-y+1/2,z'
loop_
_atom_site_label
_atom_site_type_symbol
_atom_site_fract_x
_atom_site_fract_y
_atom_site_fract_z
Tl1 Tl 0.0000 0.0000 0.0000
Sb1 Sb 0.1083 0.0000 0.3169
W1 W 0.0000 0.5000 0.5000


[3]
# TlSb2W (PBE, optimized geometry)
# E above lowest polymorph: 69.73 kJ per mole of atoms
# E_form (uncorrected): 0.98 eV per atom
# total magnetic moment: 0.0018 μB/atom
# electronic total energy: -4.913 eV per atom
data_TlSb2W
_cell_length_a 3.5799
_cell_length_b 4.9632
_cell_length_c 5.1395
_cell_angle_alpha 90.00
_cell_angle_beta 90.00
_cell_angle_gamma 90.00
_symmetry_space_group_name_H-M 'P m m m'
_symmetry_Int_Tables_number 47
loop_
_symmetry_equiv_pos_as_xyz
'x,y,z'
'-x,-y,-z'
'-x,-y,z'
'x,y,-z'
'x,-y,-z'
'-x,y,z'
'-x,y,-z'
'x,-y,z'
loop_
_atom_site_label
_atom_site_type_symbol
_atom_site_fract_x
_atom_site_fract_y
_atom_site_fract_z
Tl1 Tl 0.0000 0.0000 0.0000
Sb1 Sb 0.0000 0.5000 0.5000
Sb2 Sb 0.5000 0.5000 0.0000
W1 W 0.5000 0.0000 0.5000


[4]
# TlSbW2 (PBE, optimized geometry)
# E above lowest polymorph: 11.77 kJ per mole of atoms
# E_form (uncorrected): 0.57 eV per atom
# total magnetic moment: 0.0000 μB/atom
# electronic total energy: -7.532 eV per atom
data_TlSbW2
_cell_length_a 3.3392
_cell_length_b 4.9474
_cell_length_c 10.7307
_cell_angle_alpha 90.00
_cell_angle_beta 90.00
_cell_angle_gamma 90.00
_symmetry_space_group_name_H-M 'C m m 2'
_symmetry_Int_Tables_number 35
loop_
_symmetry_equiv_pos_as_xyz
'x,y,z'
'-x,-y,z'
'-x,y,z'
'x,-y,z'
'x+1/2,y+1/2,z'
'-x+1/2,-y+1/2,z'
'-x+1/2,y+1/2,z'
'x+1/2,-y+1/2,z'
loop_
_atom_site_label
_atom_site_type_symbol
_atom_site_fract_x
_atom_site_fract_y
_atom_site_fract_z
Tl1 Tl 0.0000 0.0000 0.0000
Sb1 Sb 0.0000 0.5000 0.3427
W1 W 0.0000 0.0000 0.5650
W2 W 0.0000 0.5000 0.7490


[5]
# TlSbW2 (PBE, optimized geometry)
# E above lowest polymorph: 38.43 kJ per mole of atoms
# E_form (uncorrected): 0.84 eV per atom
# total magnetic moment: 0.0000 μB/atom
# electronic total energy: -7.256 eV per atom
data_TlSbW2
_cell_length_a 3.1513
_cell_length_b 4.8045
_cell_length_c 11.4652
_cell_angle_alpha 90.00
_cell_angle_beta 90.00
_cell_angle_gamma 90.00
_symmetry_space_group_name_H-M 'I m m 2'
_symmetry_Int_Tables_number 44
loop_
_symmetry_equiv_pos_as_xyz
'x,y,z'
'-x,-y,z'
'-x,y,z'
'x,-y,z'
'x+1/2,y+1/2,z+1/2'
'-x+1/2,-y+1/2,z+1/2'
'-x+1/2,y+1/2,z+1/2'
'x+1/2,-y+1/2,z+1/2'
loop_
_atom_site_label
_atom_site_type_symbol
_atom_site_fract_x
_atom_site_fract_y
_atom_site_fract_z
Tl1 Tl 0.0000 0.0000 0.0000
Sb1 Sb 0.0000 0.5000 0.2212
W1 W 0.0000 0.0000 0.4862
W2 W 0.0000 0.5000 0.8156


[6]
# TlSb2W (PBE, optimized geometry)
# E above lowest polymorph: 60.09 kJ per mole of atoms
# E_form (uncorrected): 0.88 eV per atom
# total magnetic moment: 0.0006 μB/atom
# electronic total energy: -5.013 eV per atom
data_TlSb2W
_cell_length_a 6.1580
_cell_length_b 8.1891
_cell_length_c 3.6175
_cell_angle_alpha 90.00
_cell_angle_beta 92.70
_cell_angle_gamma 90.00
_symmetry_space_group_name_H-M 'C 1 2/m 1'
_symmetry_Int_Tables_number 12
loop_
_symmetry_equiv_pos_as_xyz
'x,y,z'
'-x,-y,-z'
'-x,y,-z'
'x,-y,z'
'x+1/2,y+1/2,z'
'-x+1/2,-y+1/2,-z'
'-x+1/2,y+1/2,-z'
'x+1/2,-y+1/2,z'
loop_
_atom_site_label
_atom_site_type_symbol
_atom_site_fract_x
_atom_site_fract_y
_atom_site_fract_z
Tl1 Tl 0.0000 0.0000 0.0000
Sb1 Sb 0.2500 0.2500 0.5000
W1 W 0.0000 0.5000 0.0000


[7]
# Tl3SbW (PBE, optimized geometry)
# E above lowest polymorph: 0.00 kJ per mole of atoms
# E_form (uncorrected): 1.01 eV per atom
# total magnetic moment: 0.5410 μB/atom
# electronic total energy: -3.820 eV per atom
data_Tl3SbW
_cell_length_a 5.4517
_cell_length_b 5.4517
_cell_length_c 5.4517
_cell_angle_alpha 90.00
_cell_angle_beta 90.00
_cell_angle_gamma 90.00
_symmetry_space_group_name_H-M 'P m -3 m'
_symmetry_Int_Tables_number 221
_symmetry_space_group_name_Hall '-P 4 2 3'
loop_
_atom_site_label
_atom_site_type_symbol
_atom_site_fract_x
_atom_site_fract_y
_atom_site_fract_z
Tl1 Tl 0.0000 0.0000 0.5000
Sb1 Sb 0.5000 0.5000 0.5000
W1 W 0.0000 0.0000 0.0000


[8]
# TlSbW2 (PBE, optimized geometry)
# E above lowest polymorph: 47.14 kJ per mole of atoms
# E_form (uncorrected): 0.93 eV per atom
# total magnetic moment: 0.0000 μB/atom
# electronic total energy: -7.166 eV per atom
data_TlSbW2
_cell_length_a 3.1137
_cell_length_b 3.1137
_cell_length_c 27.3973
_cell_angle_alpha 90.00
_cell_angle_beta 90.00
_cell_angle_gamma 120.00
_symmetry_space_group_name_H-M 'R -3 m'
_symmetry_Int_Tables_number 166
_symmetry_space_group_name_Hall '-R 3 2"'
loop_
_atom_site_label
_atom_site_type_symbol
_atom_site_fract_x
_atom_site_fract_y
_atom_site_fract_z
Tl1 Tl 0.0000 0.0000 0.0000
Sb1 Sb 0.0000 0.0000 0.5000
W1 W 0.0000 0.0000 0.2456


[9]
# TlSbW (PBE, optimized geometry)
# E above lowest polymorph: 33.92 kJ per mole of atoms
# E_form (uncorrected): 1.00 eV per atom
# total magnetic moment: 0.1919 μB/atom
# electronic total energy: -5.485 eV per atom
data_TlSbW
_cell_length_a 6.6654
_cell_length_b 6.6654
_cell_length_c 6.6654
_cell_angle_alpha 90.00
_cell_angle_beta 90.00
_cell_angle_gamma 90.00
_symmetry_space_group_name_H-M 'F -4 3 m'
_symmetry_Int_Tables_number 216
_symmetry_space_group_name_Hall 'F -4 2 3'
loop_
_atom_site_label
_atom_site_type_symbol
_atom_site_fract_x
_atom_site_fract_y
_atom_site_fract_z
Tl1 Tl 0.0000 0.0000 0.0000
Sb1 Sb 0.0000 0.0000 0.5000
W1 W 0.2500 0.2500 0.7500


[10]
# TlSbW (PBE, optimized geometry)
# E above lowest polymorph: 0.00 kJ per mole of atoms
# E_form (uncorrected): 0.64 eV per atom
# total magnetic moment: 0.0000 μB/atom
# electronic total energy: -5.837 eV per atom
data_TlSbW
_cell_length_a 3.3317
_cell_length_b 3.3317
_cell_length_c 7.0781
_cell_angle_alpha 90.00
_cell_angle_beta 90.00
_cell_angle_gamma 120.00
_symmetry_space_group_name_H-M 'P 3 m 1'
_symmetry_Int_Tables_number 156
loop_
_symmetry_equiv_pos_as_xyz
'x,y,z'
'-y,x-y,z'
'-x+y,-x,z'
'-y,-x,z'
'-x+y,y,z'
'x,x-y,z'
loop_
_atom_site_label
_atom_site_type_symbol
_atom_site_fract_x
_atom_site_fract_y
_atom_site_fract_z
Tl1 Tl 0.0000 0.0000 0.0000
Sb1 Sb 0.6667 0.3333 0.5962
W1 W 0.3333 0.6667 0.3242


[11]
# TlSbW2 (PBE, optimized geometry)
# E above lowest polymorph: 61.52 kJ per mole of atoms
# E_form (uncorrected): 1.08 eV per atom
# total magnetic moment: 0.0000 μB/atom
# electronic total energy: -7.017 eV per atom
data_TlSbW2
_cell_length_a 3.3229
_cell_length_b 5.0948
_cell_length_c 9.2505
_cell_angle_alpha 90.00
_cell_angle_beta 90.00
_cell_angle_gamma 90.00
_symmetry_space_group_name_H-M 'C m m m'
_symmetry_Int_Tables_number 65
_symmetry_space_group_name_Hall '-C 2 2'
loop_
_atom_site_label
_atom_site_type_symbol
_atom_site_fract_x
_atom_site_fract_y
_atom_site_fract_z
Tl1 Tl 0.0000 0.0000 0.0000
Sb1 Sb 0.0000 0.0000 0.5000
W1 W 0.0000 0.5000 0.2630


[12]
# Tl3SbW (PBE, optimized geometry)
# E above lowest polymorph: 59.04 kJ per mole of atoms
# E_form (uncorrected): 1.63 eV per atom
# total magnetic moment: 0.9378 μB/atom
# electronic total energy: -3.209 eV per atom
data_Tl3SbW
_cell_length_a 5.7682
_cell_length_b 5.7682
_cell_length_c 5.7682
_cell_angle_alpha 90.00
_cell_angle_beta 90.00
_cell_angle_gamma 90.00
_symmetry_space_group_name_H-M 'P m -3 m'
_symmetry_Int_Tables_number 221
_symmetry_space_group_name_Hall '-P 4 2 3'
loop_
_atom_site_label
_atom_site_type_symbol
_atom_site_fract_x
_atom_site_fract_y
_atom_site_fract_z
Tl1 Tl 0.0000 0.0000 0.5000
Sb1 Sb 0.0000 0.0000 0.0000
W1 W 0.5000 0.5000 0.5000


[13]
# TlSb2W (PBE, optimized geometry)
# E above lowest polymorph: 3.53 kJ per mole of atoms
# E_form (uncorrected): 0.29 eV per atom
# total magnetic moment: 0.0000 μB/atom
# electronic total energy: -5.599 eV per atom
data_TlSb2W
_cell_length_a 17.7926
_cell_length_b 3.3274
_cell_length_c 3.3923
_cell_angle_alpha 90.00
_cell_angle_beta 90.05
_cell_angle_gamma 90.00
_symmetry_space_group_name_H-M 'C 1 m 1'
_symmetry_Int_Tables_number 8
loop_
_symmetry_equiv_pos_as_xyz
'x,y,z'
'x,-y,z'
'x+1/2,y+1/2,z'
'x+1/2,-y+1/2,z'
loop_
_atom_site_label
_atom_site_type_symbol
_atom_site_fract_x
_atom_site_fract_y
_atom_site_fract_z
Tl1 Tl 0.0000 0.0000 0.0000
Sb1 Sb 0.1686 0.0000 0.4976
Sb2 Sb 0.3523 0.0000 0.4988
W1 W 0.2613 0.5000 0.9982


[14]
# TlSb2W (PBE, optimized geometry)
# E above lowest polymorph: 55.48 kJ per mole of atoms
# E_form (uncorrected): 0.83 eV per atom
# total magnetic moment: 0.4627 μB/atom
# electronic total energy: -5.061 eV per atom
data_TlSb2W
_cell_length_a 7.2138
_cell_length_b 7.2138
_cell_length_c 7.2138
_cell_angle_alpha 90.00
_cell_angle_beta 90.00
_cell_angle_gamma 90.00
_symmetry_space_group_name_H-M 'F m -3 m'
_symmetry_Int_Tables_number 225
_symmetry_space_group_name_Hall '-F 4 2 3'
loop_
_atom_site_label
_atom_site_type_symbol
_atom_site_fract_x
_atom_site_fract_y
_atom_site_fract_z
Tl1 Tl 0.0000 0.0000 0.0000
Sb1 Sb 0.2500 0.2500 0.2500
W1 W 0.0000 0.0000 0.5000


[15]
# TlSbW2 (PBE, optimized geometry)
# E above lowest polymorph: 43.11 kJ per mole of atoms
# E_form (uncorrected): 0.89 eV per atom
# total magnetic moment: 0.0000 μB/atom
# electronic total energy: -7.208 eV per atom
data_TlSbW2
_cell_length_a 9.5963
_cell_length_b 3.3660
_cell_length_c 5.4109
_cell_angle_alpha 90.00
_cell_angle_beta 96.66
_cell_angle_gamma 90.00
_symmetry_space_group_name_H-M 'C 1 2/m 1'
_symmetry_Int_Tables_number 12
loop_
_symmetry_equiv_pos_as_xyz
'x,y,z'
'-x,-y,-z'
'-x,y,-z'
'x,-y,z'
'x+1/2,y+1/2,z'
'-x+1/2,-y+1/2,-z'
'-x+1/2,y+1/2,-z'
'x+1/2,-y+1/2,z'
loop_
_atom_site_label
_atom_site_type_symbol
_atom_site_fract_x
_atom_site_fract_y
_atom_site_fract_z
Tl1 Tl 0.0000 0.0000 0.0000
Sb1 Sb 0.0000 0.5000 0.5000
W1 W 0.2400 0.0000 0.6713


[16]
# TlSbW2 (PBE, optimized geometry)
# E above lowest polymorph: 58.98 kJ per mole of atoms
# E_form (uncorrected): 1.06 eV per atom
# total magnetic moment: 0.0000 μB/atom
# electronic total energy: -7.043 eV per atom
data_TlSbW2
_cell_length_a 6.6971
_cell_length_b 6.6971
_cell_length_c 6.6971
_cell_angle_alpha 90.00
_cell_angle_beta 90.00
_cell_angle_gamma 90.00
_symmetry_space_group_name_H-M 'F m -3 m'
_symmetry_Int_Tables_number 225
_symmetry_space_group_name_Hall '-F 4 2 3'
loop_
_atom_site_label
_atom_site_type_symbol
_atom_site_fract_x
_atom_site_fract_y
_atom_site_fract_z
Tl1 Tl 0.0000 0.0000 0.0000
Sb1 Sb 0.0000 0.0000 0.5000
W1 W 0.2500 0.2500 0.2500


[17]
# TlSbW (PBE, optimized geometry)
# E above lowest polymorph: 23.28 kJ per mole of atoms
# E_form (uncorrected): 0.89 eV per atom
# total magnetic moment: 0.0000 μB/atom
# electronic total energy: -5.595 eV per atom
data_TlSbW
_cell_length_a 5.0097
_cell_length_b 5.0097
_cell_length_c 2.9945
_cell_angle_alpha 90.00
_cell_angle_beta 90.00
_cell_angle_gamma 120.00
_symmetry_space_group_name_H-M 'P -6 m 2'
_symmetry_Int_Tables_number 187
_symmetry_space_group_name_Hall 'P -6 2'
loop_
_atom_site_label
_atom_site_type_symbol
_atom_site_fract_x
_atom_site_fract_y
_atom_site_fract_z
Tl1 Tl 0.0000 0.0000 0.0000
Sb1 Sb 0.3333 0.6667 0.5000
W1 W 0.6667 0.3333 0.5000


[18]
# TlSbW2 (PBE, optimized geometry)
# E above lowest polymorph: 63.36 kJ per mole of atoms
# E_form (uncorrected): 1.10 eV per atom
# total magnetic moment: 0.0000 μB/atom
# electronic total energy: -6.998 eV per atom
data_TlSbW2
_cell_length_a 6.0075
_cell_length_b 9.1903
_cell_length_c 3.0491
_cell_angle_alpha 90.00
_cell_angle_beta 112.35
_cell_angle_gamma 90.00
_symmetry_space_group_name_H-M 'C 1 2/m 1'
_symmetry_Int_Tables_number 12
loop_
_symmetry_equiv_pos_as_xyz
'x,y,z'
'-x,-y,-z'
'-x,y,-z'
'x,-y,z'
'x+1/2,y+1/2,z'
'-x+1/2,-y+1/2,-z'
'-x+1/2,y+1/2,-z'
'x+1/2,-y+1/2,z'
loop_
_atom_site_label
_atom_site_type_symbol
_atom_site_fract_x
_atom_site_fract_y
_atom_site_fract_z
Tl1 Tl 0.0000 0.0000 0.0000
Sb1 Sb 0.0000 0.5000 0.0000
W1 W 0.2500 0.2500 0.5000


[19]
# TlSb2W (PBE, optimized geometry)
# E above lowest polymorph: 66.43 kJ per mole of atoms
# E_form (uncorrected): 0.94 eV per atom
# total magnetic moment: 0.0003 μB/atom
# electronic total energy: -4.947 eV per atom
data_TlSb2W
_cell_length_a 5.4670
_cell_length_b 3.1024
_cell_length_c 5.7134
_cell_angle_alpha 90.00
_cell_angle_beta 108.31
_cell_angle_gamma 90.00
_symmetry_space_group_name_H-M 'P 1 2/m 1'
_symmetry_Int_Tables_number 10
loop_
_symmetry_equiv_pos_as_xyz
'x,y,z'
'-x,-y,-z'
'-x,y,-z'
'x,-y,z'
loop_
_atom_site_label
_atom_site_type_symbol
_atom_site_fract_x
_atom_site_fract_y
_atom_site_fract_z
Tl1 Tl 0.0000 0.0000 0.0000
Sb1 Sb 0.0000 0.5000 0.5000
Sb2 Sb 0.5000 0.0000 0.5000
W1 W 0.5000 0.5000 0.0000


[20]
# TlSb2W (PBE, optimized geometry)
# E above lowest polymorph: 52.69 kJ per mole of atoms
# E_form (uncorrected): 0.80 eV per atom
# total magnetic moment: 0.1093 μB/atom
# electronic total energy: -5.090 eV per atom
data_TlSb2W
_cell_length_a 5.4492
_cell_length_b 5.4492
_cell_length_c 6.1429
_cell_angle_alpha 90.00
_cell_angle_beta 90.00
_cell_angle_gamma 90.00
_symmetry_space_group_name_H-M 'I 4/m m m'
_symmetry_Int_Tables_number 139
_symmetry_space_group_name_Hall '-I 4 2'
loop_
_atom_site_label
_atom_site_type_symbol
_atom_site_fract_x
_atom_site_fract_y
_atom_site_fract_z
Tl1 Tl 0.0000 0.0000 0.0000
Sb1 Sb 0.0000 0.5000 0.2500
W1 W 0.0000 0.0000 0.5000